[1]
The following is a DFT calculation (PBE) of a relaxed structure of HfHgC3.

Cell: 4.373 4.373 4.373 Å, 90.00 90.00 90.00°
Space group Pm-3m (No. 221)
Unique sites:
Hf (0.000, 0.000, 0.000) x1
Hg (0.500, 0.500, 0.500) x1
C (0.000, 0.000, 0.500) x3

Summary:
ΔE_f: 2.10 eV per atom
polymorph energy (0 for the lowest one): 0.0 meV per atom


[2]
The following is a DFT calculation (PBE) of a relaxed structure of HfInHgC2.

Cell: 4.337 4.337 5.925 Å, 90.00 90.00 90.00°
Space group P4/mmm (No. 123)
Unique sites:
Hf (0.000, 0.000, 0.000) x1
In (0.000, 0.000, 0.500) x1
Hg (0.500, 0.500, 0.500) x1
C (0.000, 0.500, 0.000) x2

Summary:
ΔE_f: 1.43 eV per atom


[3]
The following is a DFT calculation (PBE) of a relaxed structure of HfHgMoC2.

Cell: 4.266 4.266 5.255 Å, 90.00 90.00 90.00°
Space group P4/mmm (No. 123)
Unique sites:
Hf (0.000, 0.000, 0.000) x1
Hg (0.500, 0.500, 0.500) x1
Mo (0.000, 0.000, 0.500) x1
C (0.000, 0.500, 0.000) x2

Summary:
ΔE_f: 2.06 eV per atom
polymorph energy (0 for the lowest one): 0.0 meV per atom


[4]
The following is a DFT calculation (PBE) of a relaxed structure of HfHgMoC2.

Cell: 4.137 4.137 5.471 Å, 90.00 90.00 90.00°
Space group P4/mmm (No. 123)
Unique sites:
Hf (0.000, 0.000, 0.000) x1
Hg (0.000, 0.000, 0.500) x1
Mo (0.500, 0.500, 0.000) x1
C (0.000, 0.500, 0.500) x2

Summary:
ΔE_f: 3.00 eV per atom
polymorph energy (0 for the lowest one): 933.1 meV per atom


Short version: volume = 83.6 111.5 95.6 93.6 Å³ per cell, in the order given.